Entry 1:
VASP calculation (PBE-GGA) on a geometry-optimized Re2AgHg structure.

Lattice parameters (Å, degrees): 6.466 6.466 6.466 90.00 90.00 90.00
Space group F-43m (No. 216)
Inequivalent atoms, fractional coordinates:
Re  0.000  0.000  0.000
Re  0.250  0.250  0.250
Ag  0.000  0.000  0.500
Hg  0.250  0.250  0.750

Computed properties:
For the magnetic moment, the calculation gives 0.000 μB/atom. Its total energy is -6.0915 eV/atom. The calculation puts the mass density at 16.73 g cm⁻³.

=====

Entry 2:
VASP calculation (PBE-GGA) on a geometry-optimized Cu4RhW structure.

Lattice parameters (Å, degrees): 6.729 6.729 6.729 90.00 90.00 90.00
Space group F-43m (No. 216)
Inequivalent atoms, fractional coordinates:
Cu  0.125  0.125  0.125
Rh  0.000  0.000  0.500
W  0.250  0.250  0.750

Computed properties:
For the magnetic moment, the calculation gives 0.000 μB/atom. Its total energy is -5.9761 eV/atom. The calculation puts the mass density at 11.79 g cm⁻³.

=====

Entry 3:
VASP calculation (PBE-GGA) on a geometry-optimized La2SmBi structure.

Lattice parameters (Å, degrees): 3.6384 3.6384 37.8646 90.00 90.00 120.00
Space group R-3m (No. 166, hexagonal axes)
Inequivalent atoms, fractional coordinates:
La  0.0000  0.0000  0.0872
Sm  0.0000  0.0000  0.5000
Bi  0.0000  0.0000  0.0000

Computed properties:
For the magnetic moment, the calculation gives 0.000 μB/atom. Its total energy is -4.6111 eV/atom. The calculation puts the mass density at 7.31 g cm⁻³.

=====

Entry 4:
VASP calculation (PBE-GGA) on a geometry-optimized Sr2LiHf structure.

Lattice parameters (Å, degrees): 8.861 8.861 6.888 90.00 90.00 90.00
Space group I-42d (No. 122)
Inequivalent atoms, fractional coordinates:
Sr  0.215  0.250  0.125
Li  0.000  0.000  0.000
Hf  0.000  0.000  0.500

Computed properties:
For the magnetic moment, the calculation gives 0.502 μB/atom. Its total energy is -2.9931 eV/atom. The calculation puts the mass density at 4.43 g cm⁻³.

=====

- What is the formula in the fourth record?
  Sr2LiHf

=====

Repeat the second record exactly.
VASP calculation (PBE-GGA) on a geometry-optimized Cu4RhW structure.

Lattice parameters (Å, degrees): 6.729 6.729 6.729 90.00 90.00 90.00
Space group F-43m (No. 216)
Inequivalent atoms, fractional coordinates:
Cu  0.125  0.125  0.125
Rh  0.000  0.000  0.500
W  0.250  0.250  0.750

Computed properties:
For the magnetic moment, the calculation gives 0.000 μB/atom. Its total energy is -5.9761 eV/atom. The calculation puts the mass density at 11.79 g cm⁻³.

=====

- Which formula does entry 2 have?
  Cu4RhW